Entry 1:
{"formula": "TmInRu2", "functional": "PBE", "state": "relaxed", "e_form_ev_per_fu": -0.67, "sg": "P4/mmm (123)", "rho_g_cm3": 11.235, "final_energy_ev_per_cell": -26.43, "dos_ef_per_ev_fu": 6.0, "magnetic_moment_mub_per_cell": 0.0, "lattice": [[3.335, 0.000, 0.000], [0.000, 3.335, 0.000], [0.000, 0.000, 6.456]], "species": ["Tm", "In", "Ru", "Ru"], "fractional_positions": [[0.000, 0.000, 0.000], [0.000, 0.000, 0.500], [0.500, 0.500, 0.263], [0.500, 0.500, 0.737]]}


Entry 2:
{"formula": "TmIn3Ru", "functional": "PBE", "state": "relaxed", "e_form_ev_per_fu": -1.44, "sg": "Pm-3m (221)", "rho_g_cm3": 9.581, "de_polymorph_mev_per_atom": 0.0, "final_energy_ev_per_cell": -70.19, "dos_ef_per_ev_fu": 1.2, "magnetic_moment_mub_per_cell": 0.0, "lattice": [[6.836, 0.000, 0.000], [0.000, 6.836, 0.000], [0.000, 0.000, 6.836]], "species": ["Tm", "Tm", "Tm", "In", "In", "In", "In", "In", "In", "In", "In", "In", "Ru", "Ru", "Ru"], "fractional_positions": [[0.000, 0.000, 0.500], [0.000, 0.500, 0.000], [0.500, 0.000, 0.000], [0.000, 0.000, 0.000], [0.279, 0.279, 0.279], [0.279, 0.279, 0.721], [0.279, 0.721, 0.279], [0.279, 0.721, 0.721], [0.721, 0.279, 0.279], [0.721, 0.279, 0.721], [0.721, 0.721, 0.279], [0.721, 0.721, 0.721], [0.000, 0.500, 0.500], [0.500, 0.000, 0.500], [0.500, 0.500, 0.000]]}


Entry 3:
{"formula": "TmInRu", "functional": "PBE", "state": "relaxed", "e_form_ev_per_fu": -1.04, "sg": "I4mm (107)", "rho_g_cm3": 10.469, "final_energy_ev_per_cell": -35.04, "dos_ef_per_ev_fu": 0.4, "magnetic_moment_mub_per_cell": 0.0, "lattice": [[3.441, 0.000, 0.000], [0.000, 3.441, 0.000], [0.000, 0.000, 10.308]], "species": ["Tm", "Tm", "In", "In", "Ru", "Ru"], "fractional_positions": [[0.000, 0.000, 0.000], [0.500, 0.500, 0.500], [0.000, 0.000, 0.704], [0.500, 0.500, 0.204], [0.000, 0.000, 0.349], [0.500, 0.500, 0.849]]}


Entry 4:
{"formula": "Tm2InRu", "functional": "PBE", "state": "relaxed", "e_form_ev_per_fu": -1.49, "sg": "Fm-3m (225)", "rho_g_cm3": 10.447, "de_polymorph_mev_per_atom": 147.4, "final_energy_ev_per_cell": -89.78, "dos_ef_per_ev_fu": 3.0, "magnetic_moment_mub_per_cell": 0.0, "lattice": [[7.061, 0.000, 0.000], [0.000, 7.061, 0.000], [0.000, 0.000, 7.061]], "species": ["Tm", "Tm", "Tm", "Tm", "Tm", "Tm", "Tm", "Tm", "In", "In", "In", "In", "Ru", "Ru", "Ru", "Ru"], "fractional_positions": [[0.250, 0.250, 0.250], [0.250, 0.250, 0.750], [0.250, 0.750, 0.250], [0.250, 0.750, 0.750], [0.750, 0.250, 0.250], [0.750, 0.250, 0.750], [0.750, 0.750, 0.250], [0.750, 0.750, 0.750], [0.000, 0.000, 0.000], [0.000, 0.500, 0.500], [0.500, 0.000, 0.500], [0.500, 0.500, 0.000], [0.000, 0.000, 0.500], [0.000, 0.500, 0.000], [0.500, 0.000, 0.000], [0.500, 0.500, 0.500]]}